<one>
Below is an optimized crystal structure of GaSb2P, with properties calculated at the PBE-GGA level.

Geometry as CIF:
```
data_GaSb2P
_chemical_formula_sum 'Ga2 Sb4 P2'
_cell_length_a 5.906
_cell_length_b 5.906
_cell_length_c 8.082
_cell_angle_alpha 68.57
_cell_angle_beta 68.57
_cell_angle_gamma 90.00
_space_group_name_H-M_alt 'P 1'
_space_group_IT_number 1
_space_group_name_Hall 'P 1'
loop_
_atom_site_label
_atom_site_type_symbol
_atom_site_fract_x
_atom_site_fract_y
_atom_site_fract_z
P1 P 0.250 0.750 0.500
P2 P 0.500 0.500 0.000
Sb1 Sb 0.614 0.125 0.250
Sb2 Sb 0.875 0.864 0.750
Sb3 Sb 0.136 0.625 0.250
Sb4 Sb 0.375 0.386 0.750
Ga1 Ga 0.000 0.000 0.000
Ga2 Ga 0.750 0.250 0.500
```

N(E_F): 0.4047 states/eV per atom
Space group: I-42d, No. 122
Crystal system: tetragonal

<two>
Below is an optimized crystal structure of GaSb2P, with properties calculated at the PBE-GGA level.

Geometry as CIF:
```
data_GaSb2P
_chemical_formula_sum 'Ga1 Sb2 P1'
_cell_length_a 4.981
_cell_length_b 4.981
_cell_length_c 4.981
_cell_angle_alpha 60.00
_cell_angle_beta 60.00
_cell_angle_gamma 60.00
_space_group_name_H-M_alt 'P 1'
_space_group_IT_number 1
_space_group_name_Hall 'P 1'
loop_
_atom_site_label
_atom_site_type_symbol
_atom_site_fract_x
_atom_site_fract_y
_atom_site_fract_z
P1 P 0.000 0.000 0.000
Sb1 Sb 0.250 0.250 0.250
Sb2 Sb 0.750 0.750 0.750
Ga1 Ga 0.500 0.500 0.500
```

N(E_F): 0.6048 states/eV per atom
Space group: Fm-3m, No. 225
Crystal system: cubic

List of relative energies, unit kJ/mol of atoms: <one> 0.0; <two> 11.1

<one>
Below is an optimized crystal structure of ScGaP3, with properties calculated at the PBE-GGA level.

Geometry as CIF:
```
data_ScGaP3
_chemical_formula_sum 'Sc1 Ga1 P3'
_cell_length_a 4.942
_cell_length_b 4.942
_cell_length_c 4.942
_cell_angle_alpha 90.00
_cell_angle_beta 90.00
_cell_angle_gamma 90.00
_space_group_name_H-M_alt 'P 1'
_space_group_IT_number 1
_space_group_name_Hall 'P 1'
loop_
_atom_site_label
_atom_site_type_symbol
_atom_site_fract_x
_atom_site_fract_y
_atom_site_fract_z
P1 P 0.500 0.000 0.000
P2 P 0.000 0.000 0.500
P3 P 0.000 0.500 0.000
Ga1 Ga 0.500 0.500 0.500
Sc1 Sc 0.000 0.000 0.000
```

N(E_F): 0.7431 states/eV per atom
Space group: Pm-3m, No. 221
Crystal system: cubic

<two>
Below is an optimized crystal structure of ScGaP3, with properties calculated at the PBE-GGA level.

Geometry as CIF:
```
data_ScGaP3
_chemical_formula_sum 'Sc1 Ga1 P3'
_cell_length_a 4.660
_cell_length_b 4.660
_cell_length_c 4.660
_cell_angle_alpha 90.00
_cell_angle_beta 90.00
_cell_angle_gamma 90.00
_space_group_name_H-M_alt 'P 1'
_space_group_IT_number 1
_space_group_name_Hall 'P 1'
loop_
_atom_site_label
_atom_site_type_symbol
_atom_site_fract_x
_atom_site_fract_y
_atom_site_fract_z
P1 P 0.500 0.000 0.000
P2 P 0.000 0.500 0.000
P3 P 0.000 0.000 0.500
Ga1 Ga 0.000 0.000 0.000
Sc1 Sc 0.500 0.500 0.500
```

N(E_F): 0.8002 states/eV per atom
Space group: Pm-3m, No. 221
Crystal system: cubic

List of relative energies, unit kJ/mol of atoms: <one> 0.0; <two> 1.9

<one>
Below is an optimized crystal structure of Sc3GaP, with properties calculated at the PBE-GGA level.

Geometry as CIF:
```
data_Sc3GaP
_chemical_formula_sum 'Sc6 Ga2 P2'
_cell_length_a 3.586
_cell_length_b 7.986
_cell_length_c 7.988
_cell_angle_alpha 71.26
_cell_angle_beta 90.00
_cell_angle_gamma 90.00
_space_group_name_H-M_alt 'P 1'
_space_group_IT_number 1
_space_group_name_Hall 'P 1'
loop_
_atom_site_label
_atom_site_type_symbol
_atom_site_fract_x
_atom_site_fract_y
_atom_site_fract_z
Ga1 Ga 0.363 0.694 0.746
Ga2 Ga 0.863 0.194 0.246
P1 P 0.363 0.694 0.246
P2 P 0.364 0.194 0.746
Sc1 Sc 0.864 0.001 0.679
Sc2 Sc 0.864 0.388 0.814
Sc3 Sc 0.863 0.626 0.053
Sc4 Sc 0.863 0.762 0.440
Sc5 Sc 0.363 0.367 0.420
Sc6 Sc 0.363 0.021 0.073
```

N(E_F): 0.9364 states/eV per atom
Space group: Cmmm, No. 65
Crystal system: orthorhombic

<two>
Below is an optimized crystal structure of Sc3GaP, with properties calculated at the PBE-GGA level.

Geometry as CIF:
```
data_Sc3GaP
_chemical_formula_sum 'Sc3 Ga1 P1'
_cell_length_a 4.848
_cell_length_b 4.848
_cell_length_c 4.848
_cell_angle_alpha 90.00
_cell_angle_beta 90.00
_cell_angle_gamma 90.00
_space_group_name_H-M_alt 'P 1'
_space_group_IT_number 1
_space_group_name_Hall 'P 1'
loop_
_atom_site_label
_atom_site_type_symbol
_atom_site_fract_x
_atom_site_fract_y
_atom_site_fract_z
Sc1 Sc 0.500 0.000 0.000
Sc2 Sc 0.000 0.000 0.500
Sc3 Sc 0.000 0.500 0.000
P1 P 0.000 0.000 0.000
Ga1 Ga 0.500 0.500 0.500
```

N(E_F): 0.5079 states/eV per atom
Space group: Pm-3m, No. 221
Crystal system: cubic

List of relative energies, unit kJ/mol of atoms: <one> 0.0; <two> 8.8

<one>
Below is an optimized crystal structure of ScGa3P, with properties calculated at the PBE-GGA level.

Geometry as CIF:
```
data_ScGa3P
_chemical_formula_sum 'Sc1 Ga3 P1'
_cell_length_a 4.746
_cell_length_b 4.746
_cell_length_c 4.746
_cell_angle_alpha 90.00
_cell_angle_beta 90.00
_cell_angle_gamma 90.00
_space_group_name_H-M_alt 'P 1'
_space_group_IT_number 1
_space_group_name_Hall 'P 1'
loop_
_atom_site_label
_atom_site_type_symbol
_atom_site_fract_x
_atom_site_fract_y
_atom_site_fract_z
P1 P 0.000 0.000 0.000
Sc1 Sc 0.500 0.500 0.500
Ga1 Ga 0.500 0.000 0.000
Ga2 Ga 0.000 0.500 0.000
Ga3 Ga 0.000 0.000 0.500
```

N(E_F): 0.6118 states/eV per atom
Space group: Pm-3m, No. 221
Crystal system: cubic

<two>
Below is an optimized crystal structure of ScGa3P, with properties calculated at the PBE-GGA level.

Geometry as CIF:
```
data_ScGa3P
_chemical_formula_sum 'Sc1 Ga3 P1'
_cell_length_a 5.196
_cell_length_b 5.196
_cell_length_c 5.196
_cell_angle_alpha 90.00
_cell_angle_beta 90.00
_cell_angle_gamma 90.00
_space_group_name_H-M_alt 'P 1'
_space_group_IT_number 1
_space_group_name_Hall 'P 1'
loop_
_atom_site_label
_atom_site_type_symbol
_atom_site_fract_x
_atom_site_fract_y
_atom_site_fract_z
Ga1 Ga 0.500 0.000 0.000
Ga2 Ga 0.000 0.000 0.500
Ga3 Ga 0.000 0.500 0.000
Sc1 Sc 0.000 0.000 0.000
P1 P 0.500 0.500 0.500
```

N(E_F): 0.7832 states/eV per atom
Space group: Pm-3m, No. 221
Crystal system: cubic

List of relative energies, unit kJ/mol of atoms: <one> 0.0; <two> 62.6

<one>
Below is an optimized crystal structure of GaSiP2, with properties calculated at the PBE-GGA level.

Geometry as CIF:
```
data_GaSiP2
_chemical_formula_sum 'Ga2 Si2 P4'
_cell_length_a 5.807
_cell_length_b 5.807
_cell_length_c 6.181
_cell_angle_alpha 61.98
_cell_angle_beta 61.98
_cell_angle_gamma 90.00
_space_group_name_H-M_alt 'P 1'
_space_group_IT_number 1
_space_group_name_Hall 'P 1'
loop_
_atom_site_label
_atom_site_type_symbol
_atom_site_fract_x
_atom_site_fract_y
_atom_site_fract_z
Si1 Si 0.500 0.500 0.000
Si2 Si 0.250 0.750 0.500
P1 P 0.375 0.397 0.750
P2 P 0.147 0.625 0.250
P3 P 0.875 0.853 0.750
P4 P 0.603 0.125 0.250
Ga1 Ga 0.750 0.250 0.500
Ga2 Ga 0.000 0.000 0.000
```

N(E_F): 0.3319 states/eV per atom
Space group: I-42d, No. 122
Crystal system: tetragonal

<two>
Below is an optimized crystal structure of GaSiP2, with properties calculated at the PBE-GGA level.

Geometry as CIF:
```
data_GaSiP2
_chemical_formula_sum 'Ga1 Si1 P2'
_cell_length_a 4.439
_cell_length_b 4.439
_cell_length_c 4.439
_cell_angle_alpha 60.00
_cell_angle_beta 60.00
_cell_angle_gamma 60.00
_space_group_name_H-M_alt 'P 1'
_space_group_IT_number 1
_space_group_name_Hall 'P 1'
loop_
_atom_site_label
_atom_site_type_symbol
_atom_site_fract_x
_atom_site_fract_y
_atom_site_fract_z
P1 P 0.750 0.750 0.750
P2 P 0.250 0.250 0.250
Si1 Si 0.000 0.000 0.000
Ga1 Ga 0.500 0.500 0.500
```

N(E_F): 0.6891 states/eV per atom
Space group: Fm-3m, No. 225
Crystal system: cubic

<three>
Below is an optimized crystal structure of GaSiP2, with properties calculated at the PBE-GGA level.

Geometry as CIF:
```
data_GaSiP2
_chemical_formula_sum 'Ga1 Si1 P2'
_cell_length_a 3.574
_cell_length_b 3.574
_cell_length_c 7.277
_cell_angle_alpha 75.78
_cell_angle_beta 75.78
_cell_angle_gamma 60.00
_space_group_name_H-M_alt 'P 1'
_space_group_IT_number 1
_space_group_name_Hall 'P 1'
loop_
_atom_site_label
_atom_site_type_symbol
_atom_site_fract_x
_atom_site_fract_y
_atom_site_fract_z
Si1 Si 0.500 0.500 0.500
P1 P 0.109 0.109 0.673
P2 P 0.891 0.891 0.327
Ga1 Ga 0.000 0.000 0.000
```

N(E_F): 0.6085 states/eV per atom
Space group: R-3m, No. 166
Crystal system: trigonal

<four>
Below is an optimized crystal structure of GaSiP2, with properties calculated at the PBE-GGA level.

Geometry as CIF:
```
data_GaSiP2
_chemical_formula_sum 'Ga4 Si4 P8'
_cell_length_a 5.828
_cell_length_b 7.291
_cell_length_c 7.463
_cell_angle_alpha 90.00
_cell_angle_beta 90.00
_cell_angle_gamma 90.00
_space_group_name_H-M_alt 'P 1'
_space_group_IT_number 1
_space_group_name_Hall 'P 1'
loop_
_atom_site_label
_atom_site_type_symbol
_atom_site_fract_x
_atom_site_fract_y
_atom_site_fract_z
Si1 Si 0.485 0.917 0.376
Si2 Si 0.985 0.583 0.876
Si3 Si 0.485 0.417 0.124
Si4 Si 0.985 0.083 0.624
Ga1 Ga 0.991 0.588 0.375
Ga2 Ga 0.991 0.088 0.125
Ga3 Ga 0.491 0.912 0.875
Ga4 Ga 0.491 0.412 0.625
P1 P 0.877 0.408 0.118
P2 P 0.400 0.597 0.367
P3 P 0.400 0.097 0.133
P4 P 0.900 0.903 0.867
P5 P 0.877 0.908 0.382
P6 P 0.377 0.092 0.618
P7 P 0.900 0.403 0.633
P8 P 0.377 0.592 0.882
```

N(E_F): 0.1930 states/eV per atom
Space group: Pna2_1, No. 33
Crystal system: orthorhombic

List of relative energies, unit kJ/mol of atoms: <one> 3.8; <two> 57.5; <three> 29.2; <four> 0.0

<one>
Below is an optimized crystal structure of GaSi2P, with properties calculated at the PBE-GGA level.

Geometry as CIF:
```
data_GaSi2P
_chemical_formula_sum 'Ga1 Si2 P1'
_cell_length_a 4.439
_cell_length_b 4.439
_cell_length_c 4.439
_cell_angle_alpha 60.00
_cell_angle_beta 60.00
_cell_angle_gamma 60.00
_space_group_name_H-M_alt 'P 1'
_space_group_IT_number 1
_space_group_name_Hall 'P 1'
loop_
_atom_site_label
_atom_site_type_symbol
_atom_site_fract_x
_atom_site_fract_y
_atom_site_fract_z
Si1 Si 0.750 0.750 0.750
Si2 Si 0.250 0.250 0.250
Ga1 Ga 0.500 0.500 0.500
P1 P 0.000 0.000 0.000
```

N(E_F): 0.5864 states/eV per atom
Space group: Fm-3m, No. 225
Crystal system: cubic

<two>
Below is an optimized crystal structure of GaSi2P, with properties calculated at the PBE-GGA level.

Geometry as CIF:
```
data_GaSi2P
_chemical_formula_sum 'Ga2 Si4 P2'
_cell_length_a 5.493
_cell_length_b 5.493
_cell_length_c 6.669
_cell_angle_alpha 65.68
_cell_angle_beta 65.68
_cell_angle_gamma 90.00
_space_group_name_H-M_alt 'P 1'
_space_group_IT_number 1
_space_group_name_Hall 'P 1'
loop_
_atom_site_label
_atom_site_type_symbol
_atom_site_fract_x
_atom_site_fract_y
_atom_site_fract_z
P1 P 0.500 0.500 0.000
P2 P 0.250 0.750 0.500
Ga1 Ga 0.000 0.000 0.000
Ga2 Ga 0.750 0.250 0.500
Si1 Si 0.375 0.389 0.750
Si2 Si 0.611 0.125 0.250
Si3 Si 0.139 0.625 0.250
Si4 Si 0.875 0.861 0.750
```

N(E_F): 0.0000 states/eV per atom
Space group: I-42d, No. 122
Crystal system: tetragonal

List of relative energies, unit kJ/mol of atoms: <one> 52.7; <two> 0.0